A geometry-optimized ZrAgAu2 structure, computed with PBE.

Results
Its uncorrected energy is -18.86 eV per cell. The energy above the most stable polymorph in this dataset is 169 meV per atom. The calculation puts the energy of formation at -0.2258 eV/atom.

Cell: 5.118 5.118 2.967 Å, 90.00 90.00 98.88°
Positions (direct):
Zr  0.000  0.000  0.000
Ag  0.500  0.500  0.000
Au  0.000  0.500  0.500
Au  0.500  0.000  0.500